The following is a DFT calculation (PBEsol) of IrPt2Au after structural relaxation.

Cell: 4.796 4.796 4.851 Å, 99.70 99.70 33.60°
Element x y z (fractional)
Ir 0.000 0.000 0.000
Pt 0.493 0.493 0.486
Pt 0.743 0.743 0.230
Au 0.249 0.249 0.736

Calculated values
Its calculated density is 21.29 g/cm3. The space group is Cm, No. 8. Its formation energy is 0.167 eV/atom. Its offset from the most stable computed form is 0.0887 eV/atom.